(1)
VASP calculation (PBE) on crystalline BaTiPt3 at its relaxed geometry.

Lattice parameters (Å, degrees): 5.2726 5.2726 5.2726 90.00 90.00 90.00
With the nearest neighbours (Å) after each atom.
Element x y z (fractional)
Ba 0.0000 0.0000 0.0000  6 Pt 2.64
Ti 0.5000 0.5000 0.5000  12 Pt 3.73
Pt 0.0000 0.0000 0.5000  2 Ba 2.64
Pt 0.0000 0.5000 0.0000  2 Ba 2.64
Pt 0.5000 0.0000 0.0000  2 Ba 2.64

Space-group type: Pm-3m
Total magnetization in μB/cell: 0.001
Relative energy among the computed polymorphs in eV per formula unit: 10.57


(2)
VASP calculation (PBE) on crystalline La2ScGa4Pt3 at its relaxed geometry.

Lattice parameters (Å, degrees): 4.2661 4.2661 11.3722 90.00 90.00 90.00
With the nearest neighbours (Å) after each atom.
Element x y z (fractional)
La 0.0000 0.5000 0.2355  4 Pt 3.26, 8 Ga 3.28-3.42
La 0.5000 0.0000 0.7645  4 Pt 3.26, 8 Ga 3.28-3.42
Sc 0.0000 0.0000 0.5000  4 Ga 2.74, 4 Pt 3.02
Ga 0.0000 0.0000 0.0000  4 Pt 2.58
Ga 0.0000 0.5000 0.6518  3 Pt 2.51-2.74, 2 Sc 2.74
Ga 0.5000 0.0000 0.3482  3 Pt 2.51-2.74, 2 Sc 2.74
Ga 0.5000 0.5000 0.0000  4 Pt 2.58
Pt 0.0000 0.5000 0.8728  5 Ga 2.51-2.58
Pt 0.5000 0.0000 0.1272  5 Ga 2.51-2.58
Pt 0.5000 0.5000 0.5000  4 Ga 2.74, 4 Sc 3.02

Space-group type: P-4m2
Total magnetization in μB/cell: 0.000
Total DFT energy (no corrections) in eV/atom: -5.569


(3)
VASP calculation (PBE) on crystalline La2PrNd6 at its relaxed geometry.

Lattice parameters (Å, degrees): 5.7735 5.7735 22.0425 90.00 90.00 90.00
With the nearest neighbours (Å) after each atom.
Element x y z (fractional)
La 0.0000 0.0000 0.2350  4 Nd 3.37-3.63
La 0.0000 0.0000 0.7650  4 Nd 3.37-3.63
La 0.5000 0.5000 0.2650  4 Nd 3.37-3.63
La 0.5000 0.5000 0.7350  4 Nd 3.37-3.63
Pr 0.0000 0.0000 0.5000  2 Nd 2.69
Pr 0.5000 0.5000 0.0000  2 Nd 2.69
Nd 0.1708 0.1708 0.0000  1 Pr 2.69, 1 Nd 2.79
Nd 0.2219 0.2219 0.3778  1 Pr 3.25, 2 La 3.37-3.63, 1 Nd 3.62
Nd 0.2219 0.2219 0.6222  1 Pr 3.25, 2 La 3.37-3.63, 1 Nd 3.62
Nd 0.2781 0.7219 0.1222  1 Pr 3.25, 2 La 3.37-3.63, 1 Nd 3.62
Nd 0.2781 0.7219 0.8778  1 Pr 3.25, 2 La 3.37-3.63, 1 Nd 3.62
Nd 0.3292 0.6708 0.5000  1 Pr 2.69, 1 Nd 2.79
Nd 0.6708 0.3292 0.5000  1 Pr 2.69, 1 Nd 2.79
Nd 0.7219 0.2781 0.1222  1 Pr 3.25, 2 La 3.37-3.63, 1 Nd 3.62
Nd 0.7219 0.2781 0.8778  1 Pr 3.25, 2 La 3.37-3.63, 1 Nd 3.62
Nd 0.7781 0.7781 0.3778  1 Pr 3.25, 2 La 3.37-3.63, 1 Nd 3.62
Nd 0.7781 0.7781 0.6222  1 Pr 3.25, 2 La 3.37-3.63, 1 Nd 3.62
Nd 0.8292 0.8292 0.0000  1 Pr 2.69, 1 Nd 2.79

Space-group type: P4_2/mnm
Total magnetization in μB/cell: 0.000
Relative energy among the computed polymorphs in eV per formula unit: 4.05


(4)
VASP calculation (PBE) on crystalline Mg3Ag2 at its relaxed geometry.

Lattice parameters (Å, degrees): 7.5945 5.7031 8.6927 59.44 40.29 80.27
With the nearest neighbours (Å) after each atom.
Element x y z (fractional)
Mg 0.0000 0.0000 0.0000  6 Ag 2.84-3.07, 4 Mg 3.10-3.13
Mg 0.2500 0.2500 0.2500  6 Ag 2.84-3.07, 4 Mg 3.10-3.13
Mg 0.3569 0.6501 0.4349  6 Ag 2.87-3.19, 5 Mg 2.91-3.13
Mg 0.6501 0.3569 0.5581  6 Ag 2.87-3.19, 5 Mg 2.91-3.13
Mg 0.6919 0.8151 0.5999  6 Ag 2.87-3.19, 5 Mg 2.91-3.13
Mg 0.8151 0.6919 0.8931  6 Ag 2.87-3.19, 5 Mg 2.91-3.13
Ag 0.1111 0.4621 0.9892  8 Mg 2.84-3.09, 2 Ag 3.10
Ag 0.2608 0.8125 0.1389  8 Mg 2.84-3.09, 2 Ag 3.10
Ag 0.4621 0.1111 0.4375  8 Mg 2.84-3.09, 2 Ag 3.10
Ag 0.8125 0.2608 0.7879  8 Mg 2.84-3.09, 2 Ag 3.10

Space-group type: Fdd2
Total magnetization in μB/cell: 0.000
Relative energy among the computed polymorphs in eV per formula unit: 0.29


Among the records above, which one has the highest total magnetization? BaTiPt3


Look up the total magnetization of the third one. 0.000 μB/cell